CaNiPI2 | PBE | relaxed

The structure in CIF format:
```
data_CaNiPI2
_chemical_formula_sum 'Ca1 Ni1 P1 I2'
_symmetry_space_group_name_H-M 'P 4/m m m'
_symmetry_Int_Tables_number 123
_symmetry_space_group_name_Hall '-P 4 2'
_cell_length_a 5.547
_cell_length_b 5.547
_cell_length_c 4.345
_cell_angle_alpha 90.00
_cell_angle_beta 90.00
_cell_angle_gamma 90.00
loop_
_atom_site_label
_atom_site_fract_x
_atom_site_fract_y
_atom_site_fract_z
_atom_site_occupancy
Ca1 0.000 0.000 0.000 1
Ni1 0.500 0.500 0.500 1
P1 0.500 0.500 0.000 1
I1 0.000 0.500 0.500 1
```

Results
E_tot in eV per atom: -3.52
ΔE_f (raw) in eV/atom: -0.2613
D(E_F) in states/eV/f.u.: 3.56